No. 1
This record from Alexandria describes crystalline Mg3In5 at its relaxed geometry. The functional is PBEsol.

Cell and atoms, written as extended XYZ:
```
16
Lattice="7.6095 -4.4075 0.0000 7.6095 4.4075 0.0000 0.0000 0.0000 5.7838" Properties=species:S:1:pos:R:3 pbc="T T T"
Mg 4.5182 1.7940 1.4460
Mg 7.6095 3.5781 4.3379
Mg 4.5182 -1.7940 4.3379
Mg 10.7008 1.7940 1.4460
Mg 7.6095 -3.5781 1.4460
Mg 10.7008 -1.7940 4.3379
In 2.5396 0.0000 0.0000
In 2.5396 0.0000 2.8919
In 5.9277 0.9710 4.3379
In 7.6095 1.9479 1.4460
In 5.9277 -0.9710 1.4460
In 9.2914 0.9710 4.3379
In 7.6095 -1.9479 4.3379
In 9.2914 -0.9710 1.4460
In 12.6795 0.0000 0.0000
In 12.6795 0.0000 2.8919
```

The calculation puts the total magnetic moment at 0.000 μB/cell. Its calculated formation energy is -0.5 kcal/mol of atoms. The theoretical density comes out at 5.54 g cm⁻³.


No. 2
This record from Alexandria describes crystalline KMgV3Cu4O13 at its relaxed geometry. The functional is PBEsol.

Cell and atoms, written as extended XYZ:
```
44
Lattice="8.2466 0.0000 0.0000 0.0000 5.9515 0.0000 -1.5838 0.0000 10.6176" Properties=species:S:1:pos:R:3 pbc="T T T"
K -0.4987 1.4879 4.2299
K 7.1615 4.4636 6.3876
Mg 1.5001 1.4879 6.8434
Mg 5.1627 4.4636 3.7741
V -0.0579 4.4636 2.2360
V 1.2702 4.4636 9.2707
V 2.2303 4.4636 5.3381
V 4.4325 1.4879 5.2794
V 5.3926 1.4879 1.3469
V 6.7207 1.4879 8.3815
Cu 0.6632 1.4879 1.0945
Cu 1.4436 1.4879 9.9737
Cu 2.8895 0.0145 2.4504
Cu 2.8895 2.9613 2.4504
Cu 3.7733 2.9902 8.1671
Cu 3.7733 5.9370 8.1671
Cu 5.2192 4.4636 0.6438
Cu 5.9996 4.4636 9.5231
O -0.5065 1.4879 7.0600
O -0.5040 1.4879 9.8041
O -0.3940 4.4636 9.2509
O 0.9728 3.0672 2.3472
O 0.9728 5.8600 2.3472
O 1.2760 3.0921 5.5889
O 1.2760 5.8352 5.5889
O 2.6614 1.4879 1.2585
O 1.8246 0.0154 8.4750
O 1.8246 2.9604 8.4750
O 3.3341 4.4636 0.2928
O 3.0684 4.4636 3.6370
O 3.2335 1.4879 4.1144
O 3.4292 4.4636 6.5032
O 3.5944 1.4879 6.9806
O 3.3287 1.4879 10.3248
O 4.8382 2.9912 2.1426
O 4.8382 5.9361 2.1426
O 4.0014 4.4636 9.3591
O 5.3868 0.1163 5.0287
O 5.3868 2.8594 5.0287
O 5.6900 0.0915 8.2704
O 5.6900 2.8843 8.2704
O 7.0568 1.4879 1.3667
O 7.1668 4.4636 0.8135
O 7.1693 4.4636 3.5576
```

The calculation puts the total magnetic moment at 3.648 μB/cell. The theoretical density comes out at 4.32 g cm⁻³. The formation energy from raw total energies comes out at -1.72 eV/atom.


No. 3
This record from Alexandria describes crystalline LaScP2 at its relaxed geometry. The functional is PBEsol.

Cell and atoms, written as extended XYZ:
```
4
Lattice="1.9899 1.1489 6.4530 -1.9899 1.1489 6.4530 0.0000 -2.2978 6.4530" Properties=species:S:1:pos:R:3 pbc="T T T"
La 0.0000 0.0000 0.0000
Sc 0.0000 0.0000 9.6796
P 0.0000 0.0000 4.6463
P 0.0000 0.0000 14.7128
```

The calculation puts the total magnetic moment at 0.000 μB/cell. Its calculated formation energy is -34.1 kcal/mol of atoms. The theoretical density comes out at 4.61 g cm⁻³.


No. 4
This record from Alexandria describes crystalline Mg5Ga at its relaxed geometry. The functional is PBEsol.

Cell and atoms, written as extended XYZ:
```
6
Lattice="5.0897 0.0000 0.0000 0.0000 1.5582 7.9854 0.0000 -1.5582 7.9854" Properties=species:S:1:pos:R:3 pbc="T T T"
Mg 0.0000 0.0000 0.0000
Mg 0.0000 0.0000 5.1348
Mg 2.5448 0.0000 3.3949
Mg 2.5448 0.0000 8.8008
Mg 2.5448 0.0000 14.1074
Ga 0.0000 0.0000 10.5413
```

The calculation puts the total magnetic moment at 0.000 μB/cell. Its calculated formation energy is -0.9 kcal/mol of atoms. The theoretical density comes out at 2.51 g cm⁻³.


No. 5
This record from Alexandria describes crystalline CaLa2P2 at its relaxed geometry. The functional is PBEsol.

Cell and atoms, written as extended XYZ:
```
10
Lattice="7.8505 0.0000 0.0000 0.0000 7.8505 0.0000 0.0000 0.0000 4.0473" Properties=species:S:1:pos:R:3 pbc="T T T"
Ca 0.0000 0.0000 0.0000
Ca 3.9252 3.9252 0.0000
La 1.1735 2.7518 2.0237
La 2.7518 6.6770 2.0237
La 5.0987 1.1735 2.0237
La 6.6770 5.0987 2.0237
P 1.2269 5.1521 0.0000
P 2.6984 1.2269 0.0000
P 5.1521 6.6236 0.0000
P 6.6236 2.6984 0.0000
```

The calculation puts the total magnetic moment at 0.000 μB/cell. Its calculated formation energy is -28.8 kcal/mol of atoms. The theoretical density comes out at 5.06 g cm⁻³.


No. 6
This record from Alexandria describes crystalline CaPb3F at its relaxed geometry. The functional is PBEsol.

Cell and atoms, written as extended XYZ:
```
5
Lattice="5.0804 0.0000 0.0000 0.0000 5.0804 0.0000 0.0000 0.0000 5.0804" Properties=species:S:1:pos:R:3 pbc="T T T"
Ca 0.0000 0.0000 0.0000
Pb 0.0000 2.5402 2.5402
Pb 2.5402 0.0000 2.5402
Pb 2.5402 2.5402 0.0000
F 2.5402 2.5402 2.5402
```

The calculation puts the total magnetic moment at 0.000 μB/cell. The theoretical density comes out at 8.62 g cm⁻³. The formation energy from raw total energies comes out at -0.72 eV/atom.


No. 7
This record from Alexandria describes crystalline Tc2SbTe at its relaxed geometry. The functional is PBEsol.

Cell and atoms, written as extended XYZ:
```
4
Lattice="0.0000 3.2409 3.2409 3.2409 0.0000 3.2409 3.2409 3.2409 0.0000" Properties=species:S:1:pos:R:3 pbc="T T T"
Tc 1.6204 1.6204 1.6204
Tc 4.8613 4.8613 4.8613
Sb 0.0000 0.0000 0.0000
Te 3.2409 3.2409 3.2409
```

The calculation puts the total magnetic moment at 0.000 μB/cell. The theoretical density comes out at 10.86 g cm⁻³. The formation energy from raw total energies comes out at 0.20 eV/atom.


No. 8
This record from Alexandria describes crystalline La2MnCd at its relaxed geometry. The functional is PBEsol.

Cell and atoms, written as extended XYZ:
```
4
Lattice="1.7140 0.9896 10.1394 -1.7140 0.9896 10.1394 0.0000 -1.9791 10.1394" Properties=species:S:1:pos:R:3 pbc="T T T"
La 0.0000 0.0000 0.0000
La 0.0000 0.0000 7.0212
Mn 0.0000 0.0000 14.8302
Cd 0.0000 0.0000 23.0059
```

The calculation puts the total magnetic moment at 3.559 μB/cell. Its calculated formation energy is 7.8 kcal/mol of atoms. The theoretical density comes out at 7.16 g cm⁻³.